1.
# NiPb2 (GGA-PBEsol, optimized geometry)
# V in A^3/atom: 22.833
# Formation energy from the elements in eV/atom: 0.0864
# DFT total energy in Ry per atom: -0.3404
data_NiPb2
_chemical_formula_sum 'Ni2 Pb4'
_cell_length_a 5.963
_cell_length_b 6.428
_cell_length_c 3.574
_cell_angle_alpha 90.00
_cell_angle_beta 90.00
_cell_angle_gamma 90.00
_symmetry_space_group_name_H-M 'P n n m'
_symmetry_Int_Tables_number 58
_symmetry_space_group_name_Hall '-P 2 2n'
loop_
_atom_site_label
_atom_site_type_symbol
_atom_site_fract_x
_atom_site_fract_y
_atom_site_fract_z
_atom_site_occupancy
Ni1 Ni 0.000 0.000 0.000 1
Pb1 Pb 0.229 0.342 0.000 1

=====

2.
# AlTcAu2 (GGA-PBEsol, optimized geometry)
# V in A^3/atom: 15.517
# Formation energy from the elements in eV/atom: 0.0899
# DFT total energy in Ry per atom: -0.4198
data_AlTcAu2
_chemical_formula_sum 'Al2 Tc2 Au4'
_cell_length_a 3.984
_cell_length_b 3.984
_cell_length_c 7.820
_cell_angle_alpha 90.00
_cell_angle_beta 90.00
_cell_angle_gamma 90.00
_symmetry_space_group_name_H-M 'I 4/m m m'
_symmetry_Int_Tables_number 139
_symmetry_space_group_name_Hall '-I 4 2'
loop_
_atom_site_label
_atom_site_type_symbol
_atom_site_fract_x
_atom_site_fract_y
_atom_site_fract_z
_atom_site_occupancy
Al1 Al 0.000 0.000 0.000 1
Tc1 Tc 0.000 0.000 0.500 1
Au1 Au 0.000 0.500 0.250 1

=====

3.
# ZrCd2Co (GGA-PBEsol, optimized geometry)
# V in A^3/atom: 17.347
# Relative energy among the computed polymorphs in meV/atom: 0
# Formation energy from the elements in eV/atom: 0.0412
# DFT total energy in Ry per atom: -0.3502
data_ZrCd2Co
_chemical_formula_sum 'Zr4 Cd8 Co4'
_cell_length_a 6.523
_cell_length_b 6.523
_cell_length_c 6.523
_cell_angle_alpha 90.00
_cell_angle_beta 90.00
_cell_angle_gamma 90.00
_symmetry_space_group_name_H-M 'F -4 3 m'
_symmetry_Int_Tables_number 216
_symmetry_space_group_name_Hall 'F -4 2 3'
loop_
_atom_site_label
_atom_site_type_symbol
_atom_site_fract_x
_atom_site_fract_y
_atom_site_fract_z
_atom_site_occupancy
Zr1 Zr 0.000 0.000 0.000 1
Cd1 Cd 0.000 0.000 0.500 1
Cd2 Cd 0.250 0.250 0.750 1
Co1 Co 0.250 0.250 0.250 1

=====

4.
# Mn3WC (GGA-PBEsol, optimized geometry)
# V in A^3/atom: 18.349
# Relative energy among the computed polymorphs in meV/atom: 2853
# Formation energy from the elements in eV/atom: 2.8036
# DFT total energy in Ry per atom: -0.5691
data_Mn3WC
_chemical_formula_sum 'Mn3 W1 C1'
_cell_length_a 4.510
_cell_length_b 4.510
_cell_length_c 4.510
_cell_angle_alpha 90.00
_cell_angle_beta 90.00
_cell_angle_gamma 90.00
_symmetry_space_group_name_H-M 'P m -3 m'
_symmetry_Int_Tables_number 221
_symmetry_space_group_name_Hall '-P 4 2 3'
loop_
_atom_site_label
_atom_site_type_symbol
_atom_site_fract_x
_atom_site_fract_y
_atom_site_fract_z
_atom_site_occupancy
Mn1 Mn 0.000 0.000 0.500 1
W1 W 0.000 0.000 0.000 1
C1 C 0.500 0.500 0.500 1